# 1
VASP calculation (GGA-PBE) on a relaxed KSbSe2 crystal.

As for the total energy: -3.4151 eV per atom. As for the crystal system: monoclinic. The value obtained for the formation energy without anion corrections is -0.368 eV per atom.

The space group is C2/m (No. 12) and the conventional cell measures 8.719, 8.662 and 3.014 Å, with angles of 90.00, 101.41 and 90.00 degrees. The distinct sites, in fractional coordinates, are K at (0.000, 0.000, 0.000), Sb at (0.000, 0.500, 0.000) and Se at (0.250, 0.250, 0.000).

***

# 2
VASP calculation (GGA-PBE) on a relaxed KSbSe2 crystal.

As for the total energy: -2.9024 eV per atom. As for the crystal system: cubic. The value obtained for the formation energy without anion corrections is 0.145 eV per atom.

The space group is F-43m (No. 216) and the conventional cell measures 7.526, 7.526 and 7.526 Å, with angles of 90.00, 90.00 and 90.00 degrees. The distinct sites, in fractional coordinates, are K at (0.000, 0.000, 0.000), Sb at (0.250, 0.250, 0.250), Se at (0.000, 0.000, 0.500) and Se at (0.250, 0.250, 0.750).

***

# 3
VASP calculation (GGA-PBE) on a relaxed KSbSe3 crystal.

The energy above the most stable polymorph in this dataset is 230 meV per atom. As for the total energy: -3.4005 eV per atom. As for the crystal system: cubic. The value obtained for the formation energy without anion corrections is -0.266 eV per atom.

The space group is Pm-3m (No. 221) and the conventional cell measures 5.422, 5.422 and 5.422 Å, with angles of 90.00, 90.00 and 90.00 degrees. The distinct sites, in fractional coordinates, are K at (0.000, 0.000, 0.000), Sb at (0.500, 0.500, 0.500) and Se at (0.000, 0.500, 0.500).